Material: TlPt3
Method: DFT, PBE
State: relaxed

Properties
total magnetic moment = 0.00 μB/f.u.
energy of formation = 0.19 eV per atom
Fermi-level density of states = 1.192 states/eV/atom

abc: 2.9978 2.9978 27.0501
angles: 90.00 90.00 120.00
Closest atoms and distances in Å follow each position.
Atoms (fractional coordinates):
Tl 0.0000 0.0000 0.0000  6 Pt 2.89, 6 Tl 3.00
Tl 0.3333 0.6667 0.6667  6 Pt 2.89, 6 Tl 3.00
Tl 0.6667 0.3333 0.3333  6 Pt 2.89, 6 Tl 3.00
Pt 0.0000 0.0000 0.2479  9 Pt 2.80-3.00, 3 Tl 2.89
Pt 0.0000 0.0000 0.5000  12 Pt 2.80-3.00
Pt 0.0000 0.0000 0.7521  9 Pt 2.80-3.00, 3 Tl 2.89
Pt 0.3333 0.6667 0.1667  12 Pt 2.80-3.00
Pt 0.3333 0.6667 0.4188  9 Pt 2.80-3.00, 3 Tl 2.89
Pt 0.3333 0.6667 0.9146  9 Pt 2.80-3.00, 3 Tl 2.89
Pt 0.6667 0.3333 0.0854  9 Pt 2.80-3.00, 3 Tl 2.89
Pt 0.6667 0.3333 0.5812  9 Pt 2.80-3.00, 3 Tl 2.89
Pt 0.6667 0.3333 0.8333  12 Pt 2.80-3.00


Material: TlPt3
Method: DFT, PBE
State: relaxed

Properties
total magnetic moment = 0.00 μB/f.u.
energy of formation = 0.05 eV per atom
Fermi-level density of states = 0.900 states/eV/atom

abc: 2.9186 4.8798 4.8794
angles: 90.00 90.00 90.00
Closest atoms and distances in Å follow each position.
Atoms (fractional coordinates):
Tl 0.0000 0.0000 0.0000  8 Pt 2.84, 2 Tl 2.92
Pt 0.0000 0.5000 0.5030  10 Pt 2.84-2.92
Pt 0.5000 0.0000 0.5003  4 Tl 2.84, 6 Pt 2.84-2.92
Pt 0.5000 0.5000 0.0037  6 Pt 2.84-2.92, 4 Tl 2.84


Material: Tl3Pt
Method: DFT, PBE
State: relaxed

Properties
total magnetic moment = 0.00 μB/f.u.
energy of formation = 0.22 eV per atom
Fermi-level density of states = 0.404 states/eV/atom
ΔE to the lowest computed polymorph = 241 meV/atom

abc: 9.8931 9.8931 3.6027
angles: 90.00 90.00 120.00
Closest atoms and distances in Å follow each position.
Atoms (fractional coordinates):
Tl 0.0000 0.5000 0.0000  4 Tl 3.10, 2 Pt 3.10
Tl 0.1667 0.3333 0.3333  4 Tl 3.10, 2 Pt 3.10
Tl 0.1667 0.8333 0.3333  2 Pt 3.10, 4 Tl 3.10
Tl 0.3333 0.1667 0.6667  4 Tl 3.10, 2 Pt 3.10
Tl 0.5000 0.0000 0.0000  2 Pt 3.10, 4 Tl 3.10
Tl 0.5000 0.5000 0.0000  4 Tl 3.10, 2 Pt 3.10
Tl 0.6667 0.8333 0.3333  4 Tl 3.10, 2 Pt 3.10
Tl 0.8333 0.1667 0.6667  2 Pt 3.10, 4 Tl 3.10
Tl 0.8333 0.6667 0.6667  4 Tl 3.10, 2 Pt 3.10
Pt 0.0000 0.0000 0.0000  6 Tl 3.10
Pt 0.3333 0.6667 0.6667  6 Tl 3.10
Pt 0.6667 0.3333 0.3333  6 Tl 3.10


> Look up the energy of formation of the third one.

0.22 eV per atom


> total magnetic moment of number 2 (TlPt3)?

0.00 μB/f.u.


> Number 1 is which compound?

TlPt3


> energy of formation of number 3 (Tl3Pt)?

0.22 eV per atom